DFT (PBEsol) results for ZrPBr after structural relaxation.

abc: 4.551 4.551 3.184
angles: 90.00 90.00 120.00
Fractional positions:
Zr 0.000 0.000 0.000
P 0.667 0.333 0.500
Br 0.333 0.667 0.000

The calculation puts the total energy at -6.085 eV/atom. The calculation puts the volume at 19.03 A^3/atom. The total moment is 0.000 μB/f.u. The value obtained for the calculated density is 5.9 g/cm³.